# 1
Si2PAu after structural relaxation, computed with PBE.

a b c (Å): 3.223 4.378 9.360
angles (deg): 90.00 90.00 90.00
Space group Cmm2 (No. 35)
One atom of each set of equivalent atoms:
1 Si 0.000 0.000 0.000
2 Si 0.000 0.500 0.243
3 P 0.000 0.000 0.444
4 Au 0.000 0.500 0.752

Summary:
Electronic total energy   -35.116 eV/cell
Uncorrected formation energy   494 meV per atom

# 2
HoTh2ZrSc4 after structural relaxation, computed with PBE.

a b c (Å): 5.906 3.392 10.887
angles (deg): 90.00 100.13 90.00
Space group P2/m (No. 10)
One atom of each set of equivalent atoms:
1 Ho 0.000 0.000 0.000
2 Th 0.000 0.500 0.500
3 Th 0.500 0.000 0.500
4 Zr 0.500 0.500 0.000
5 Sc 0.260 0.500 0.248
6 Sc 0.263 0.000 0.757

Summary:
Electronic total energy   -52.748 eV/cell
Formation energy from the elements   52 kJ/mol of formula units

# 3
Li2Mn after structural relaxation, computed with PBE.

a b c (Å): 2.730 2.730 13.378
angles (deg): 90.00 90.00 90.00
Space group I4/mmm (No. 139)
One atom of each set of equivalent atoms:
1 Li 0.000 0.000 0.159
2 Mn 0.000 0.000 0.500

Summary:
Electronic total energy   -24.026 eV/cell
Formation energy from the elements   95 kJ/mol of formula units

# 4
ErPuTeS after structural relaxation, computed with PBE.

a b c (Å): 4.0632 4.0632 21.0529
angles (deg): 90.00 90.00 120.00
Space group R3m (No. 160, hexagonal axes)
One atom of each set of equivalent atoms:
1 Er 0.0000 0.0000 0.0000
2 Pu 0.0000 0.0000 0.4737
3 Te 0.0000 0.0000 0.2396
4 S 0.0000 0.0000 0.7342

Summary:
Electronic total energy   -96.725 eV/cell
Uncorrected formation energy   -1519 meV per atom

# 5
Tm3Zn2Ir after structural relaxation, computed with PBE.

a b c (Å): 3.482 3.482 10.409
angles (deg): 90.00 90.00 90.00
Space group P4/mmm (No. 123)
One atom of each set of equivalent atoms:
1 Tm 0.000 0.000 0.000
2 Tm 0.000 0.000 0.347
3 Zn 0.500 0.500 0.168
4 Ir 0.500 0.500 0.500

Summary:
Electronic total energy   -28.257 eV/cell
Formation energy from the elements   -331 kJ/mol of formula units
Energy above the most stable polymorph in this dataset   25 meV/atom

# 6
FeCuRh2 after structural relaxation, computed with PBE.

a b c (Å): 4.543 2.698 4.682
angles (deg): 90.00 110.82 90.00
Space group P2/m (No. 10)
One atom of each set of equivalent atoms:
1 Fe 0.000 0.000 0.000
2 Cu 0.000 0.500 0.500
3 Rh 0.500 0.000 0.500
4 Rh 0.500 0.500 0.000

Summary:
Electronic total energy   -27.135 eV/cell
Formation energy from the elements   12 kJ/mol of formula units

# 7
Cd2ReW after structural relaxation, computed with PBE.

a b c (Å): 2.761 4.860 5.335
angles (deg): 90.00 101.12 90.00
Space group P2/m (No. 10)
One atom of each set of equivalent atoms:
1 Cd 0.223 0.000 0.252
2 Re 0.000 0.500 0.500
3 W 0.500 0.500 0.000

Summary:
Electronic total energy   -24.546 eV/cell
Formation energy from the elements   259 kJ/mol of formula units
Energy above the most stable polymorph in this dataset   305 meV/atom

# 8
Cs2SrPd after structural relaxation, computed with PBE.

a b c (Å): 9.263 9.263 9.263
angles (deg): 90.00 90.00 90.00
Space group Fm-3m (No. 225)
One atom of each set of equivalent atoms:
1 Cs 0.250 0.250 0.250
2 Sr 0.000 0.000 0.000
3 Pd 0.000 0.000 0.500

Summary:
Electronic total energy   -27.847 eV/cell
Formation energy from the elements   156 kJ/mol of formula units
Energy above the most stable polymorph in this dataset   331 meV/atom

> What is the electronic total energy in the second record?

-52.748 eV/cell